Entry 1:
A plane-wave DFT calculation with PBE was carried out for Na2ZrCuSe4 after structural relaxation.

Cell lengths 8.169, 8.169, 8.169 Å; angles 122.84, 122.48, 85.45 degrees
Element x y z (fractional)
Na  0.000  0.000  0.000
Na  0.500  0.000  0.000
Na  0.500  0.000  0.500
Na  0.500  0.500  0.500
Zr  0.000  0.500  0.500
Zr  0.500  0.500  0.000
Cu  0.000  0.000  0.500
Cu  0.000  0.500  0.000
Se  0.183  0.730  0.453
Se  0.222  0.270  0.953
Se  0.262  0.277  0.516
Se  0.262  0.746  0.984
Se  0.738  0.254  0.016
Se  0.738  0.723  0.484
Se  0.778  0.730  0.047
Se  0.817  0.270  0.547

Calculated values
Volume, Å³/cell: 368.8
Calculated density, g/cm3: 4.7
M_tot, μB per cell: 0.01
SG: Imma, No. 74
Uncorrected formation energy, eV per atom: -0.913
D(E_F), states/eV/cell: 9.6

Entry 2:
A plane-wave DFT calculation with PBE was carried out for Ca4MgAu5 after structural relaxation.

Cell lengths 3.584, 3.584, 17.804 Å; angles 90.00, 90.00, 90.00 degrees
Element x y z (fractional)
Ca  0.000  0.000  0.103
Ca  0.000  0.000  0.311
Ca  0.000  0.000  0.689
Ca  0.000  0.000  0.897
Mg  0.000  0.000  0.500
Au  0.500  0.500  0.000
Au  0.500  0.500  0.207
Au  0.500  0.500  0.417
Au  0.500  0.500  0.583
Au  0.500  0.500  0.793

Calculated values
Volume, Å³/cell: 228.7
Calculated density, g/cm3: 8.5
M_tot, μB per cell: 0.00
SG: P4/mmm, No. 123
D(E_F), states/eV/cell: 5.0
Formation enthalpy at 0 K, eV per atom: -0.75